[1]
Density functional theory data (GGA-PBE) for a relaxed structure of La6PmHg3.

For the density of states at the Fermi level, the calculation gives 23.98 states/eV/cell. The calculation puts the calculated formation energy at -0.22 eV/atom. As for the symmetry: P2_1/m.

Cell: 5.593 9.629 12.885 Å, 109.63 90.00 90.00°
Atoms (fractional coordinates):
La (0.750, 0.417, 0.960)
La (0.750, 0.884, 0.459)
La (0.750, 0.188, 0.704)
La (0.250, 0.583, 0.040)
La (0.250, 0.812, 0.296)
La (0.750, 0.620, 0.605)
La (0.250, 0.909, 0.790)
La (0.250, 0.380, 0.395)
La (0.750, 0.091, 0.210)
La (0.250, 0.275, 0.098)
La (0.750, 0.725, 0.902)
La (0.250, 0.116, 0.541)
Hg (0.750, 0.266, 0.475)
Hg (0.250, 0.928, 0.060)
Hg (0.750, 0.744, 0.163)
Hg (0.750, 0.072, 0.940)
Hg (0.250, 0.734, 0.525)
Hg (0.250, 0.256, 0.837)
Pm (0.750, 0.506, 0.278)
Pm (0.250, 0.494, 0.722)

=====

[2]
Density functional theory data (GGA-PBE) for a relaxed structure of NdSbPd4.

For the total energy, the calculation gives -5.4915 eV/atom. For the density of states at the Fermi level, the calculation gives 6.71 states/eV/cell. As for the symmetry: F-43m.

Cell: 5.455 5.455 5.455 Å, 60.00 60.00 60.00°
Atoms (fractional coordinates):
Pd (0.625, 0.625, 0.125)
Pd (0.625, 0.125, 0.625)
Pd (0.625, 0.625, 0.625)
Pd (0.125, 0.625, 0.625)
Sb (0.250, 0.250, 0.250)
Nd (0.000, 0.000, 0.000)

=====

[3]
Density functional theory data (GGA-PBE) for a relaxed structure of TaW2Au.

For the density of states at the Fermi level, the calculation gives 4.22 states/eV/cell. The calculation puts the calculated formation energy at 0.40 eV/atom. As for the symmetry: R-3m.

Cell: 9.979 9.979 9.979 Å, 16.40 16.40 16.40°
Atoms (fractional coordinates):
Au (0.250, 0.250, 0.250)
W (0.501, 0.501, 0.501)
W (0.999, 0.999, 0.999)
Ta (0.750, 0.750, 0.750)

=====

[4]
Density functional theory data (GGA-PBE) for a relaxed structure of Ba3Ac3ScO8.

For the total energy, the calculation gives -7.0510 eV/atom. For the density of states at the Fermi level, the calculation gives 6.11 states/eV/cell. As for the symmetry: R-3m.

Cell: 7.449 7.449 7.673 Å, 119.04 89.99 120.01°
Atoms (fractional coordinates):
O (0.791, 0.021, 0.313)
O (0.739, 0.479, 0.718)
O (0.209, 0.979, 0.687)
O (0.770, 0.979, 0.687)
O (0.791, 0.583, 0.313)
O (0.230, 0.021, 0.313)
O (0.209, 0.417, 0.687)
O (0.261, 0.521, 0.282)
Ac (0.000, 0.500, 0.500)
Ac (0.500, 0.000, 0.500)
Ac (0.500, 0.500, 0.500)
Ba (0.000, 0.000, 0.000)
Ba (0.000, 0.500, 0.000)
Ba (0.500, 0.500, 0.000)
Sc (0.000, 0.000, 0.500)